7
Lattice="-1.851 3.185 3.802 1.851 -3.185 3.802 1.851 3.185 -3.802" Properties=species:S:1:pos:R:3 comment="RuWO5 | Alexandria via LeMat-Bulk | PBE with a Hubbard U | optimized geometry" dos_at_fermi_per_ev_atom=0.50 magnetic_moment_mub_per_fu=1.45 dft_energy_ev_per_cell=-50.293 pbc="T T T"
Ru 0.000 0.000 0.000
W 0.000 0.000 3.802
O 1.851 1.201 0.000
O 0.000 0.000 1.872
O 0.000 3.185 0.000
O 0.000 0.000 5.731
O 0.000 1.984 3.802